Record 1
{
  "formula": "Ce4OsRu",
  "functional": "PBE",
  "state": "optimized geometry",
  "lattice_angstrom": [[-0.2426, 1.9806, -5.6777], [0.0191, -7.0909, -1.4971], [-6.6376, 2.1144, 1.9985]],
  "species": ["Ce", "Ce", "Ce", "Ce", "Ce", "Ce", "Ce", "Ce", "Os", "Os", "Ru", "Ru"],
  "frac_coords": [[0.9237, 0.5987, 0.7652], [0.0334, 0.9380, 0.2984], [0.5763, 0.2348, 0.4013], [0.4666, 0.7016, 0.0620], [0.5334, 0.2984, 0.9380], [0.4237, 0.7652, 0.5987], [0.9666, 0.0620, 0.7016], [0.0763, 0.4013, 0.2348], [0.7500, 0.6227, 0.3773], [0.2500, 0.3773, 0.6227], [0.2500, 0.0026, 0.9974], [0.7500, 0.9974, 0.0026]],
  "ef_ev_per_atom": -0.22,
  "polymorph_energy_mev_per_atom": 0,
  "volume_a3_per_cell": 289.3,
  "density_g_cm3": 9.78
}


Record 2
{
  "formula": "Ce3OsRu",
  "functional": "PBE",
  "state": "optimized geometry",
  "lattice_angstrom": [[4.4984, 0.0014, -0.0003], [2.2503, 5.4278, 0.4431], [-0.0020, -0.0373, 9.1222]],
  "species": ["Ce", "Ce", "Ce", "Ce", "Ce", "Ce", "Os", "Os", "Ru", "Ru"],
  "frac_coords": [[0.2622, 0.8655, 0.6156], [0.5002, 0.3893, 0.3801], [0.5536, 0.2821, 0.7678], [0.3156, 0.7582, 0.0033], [0.8122, 0.7651, 0.3188], [0.0037, 0.3824, 0.0646], [0.9923, 0.4052, 0.5828], [0.8235, 0.7424, 0.8006], [0.6603, 0.0691, 0.0588], [0.1556, 0.0784, 0.3246]],
  "ef_ev_per_atom": -0.24,
  "volume_a3_per_cell": 222.8,
  "density_g_cm3": 10.61
}